Crystalline TbErI at its relaxed geometry. Source: Alexandria, functional GGA-PBE.

Calculated values
Excess energy over the best structure of this formula in the dataset   242.6 meV/atom
E_form (uncorrected)   -15 kJ/mol of atoms

a = 5.4058 Å, b = 5.4058 Å, c = 3.7628 Å
α = 90.00°, β = 90.00°, γ = 120.00°
Space group P3m1 (No. 156)
One atom of each set of equivalent atoms:
Tb (0.0000, 0.0000, 0.0000)
Er (0.3333, 0.6667, 0.4775)
I (0.6667, 0.3333, 0.2703)